Entry from the Alexandria database: crystalline Ho4Mn6O19 at its relaxed geometry (PBE+U).

Computed properties:
* DOS at the Fermi energy: 0.356 states/eV per atom
* raw total energy: -7.453 eV per atom
* SG: No. 197

a = 7.414 Å, b = 7.414 Å, c = 7.414 Å
α = 109.47°, β = 109.47°, γ = 109.47°
Fractional coordinates of all 29 atoms:
Ho  0.000  0.000  0.323
Ho  0.000  0.323  0.000
Ho  0.323  0.000  0.000
Ho  0.677  0.677  0.677
Mn  0.163  0.500  0.663
Mn  0.337  0.837  0.500
Mn  0.500  0.337  0.837
Mn  0.500  0.663  0.163
Mn  0.663  0.163  0.500
Mn  0.837  0.500  0.337
O  0.000  0.000  0.000
O  0.000  0.346  0.346
O  0.000  0.654  0.654
O  0.034  0.670  0.271
O  0.237  0.636  0.966
O  0.271  0.034  0.670
O  0.330  0.364  0.602
O  0.346  0.000  0.346
O  0.346  0.346  0.000
O  0.364  0.602  0.330
O  0.398  0.763  0.729
O  0.602  0.330  0.364
O  0.636  0.966  0.237
O  0.654  0.000  0.654
O  0.654  0.654  0.000
O  0.670  0.271  0.034
O  0.729  0.398  0.763
O  0.763  0.729  0.398
O  0.966  0.237  0.636